Record 1
Dy7Er12Zr, optimized geometry, DFT GGA-PBE; D(E_F) = 21.56 states/eV per cell; E = -79.71 eV for the cell shown; total magnetization = 0.00 μB/cell; space group = Im-3m, No. 229; energy relative to the elements = 0.79 eV/atom
1.0
-5.626 5.626 5.626
5.626 -5.626 5.626
5.626 5.626 -5.626
Dy Er Zr
7 12 1
Direct
0.000 0.000 0.500 Dy
0.000 0.500 0.000 Dy
0.000 0.500 0.500 Dy
0.500 0.000 0.000 Dy
0.500 0.000 0.500 Dy
0.500 0.500 0.000 Dy
0.500 0.500 0.500 Dy
0.000 0.218 0.782 Er
0.000 0.782 0.218 Er
0.218 0.000 0.782 Er
0.218 0.218 0.436 Er
0.218 0.436 0.218 Er
0.218 0.782 0.000 Er
0.436 0.218 0.218 Er
0.564 0.782 0.782 Er
0.782 0.000 0.218 Er
0.782 0.218 0.000 Er
0.782 0.564 0.782 Er
0.782 0.782 0.564 Er
0.000 0.000 0.000 Zr

Record 2
Dy4ErZr, optimized geometry, DFT GGA-PBE; D(E_F) = 15.13 states/eV per cell; E = -62.29 eV for the cell shown; total magnetization = 0.00 μB/cell; space group = P-1, No. 2; energy relative to the elements = 0.06 eV/atom
1.0
6.024 0.000 0.000
1.986 6.626 0.000
2.041 1.214 8.876
Dy Er Zr
8 2 2
Direct
0.004 0.419 0.320 Dy
0.004 0.919 0.320 Dy
0.486 0.418 0.840 Dy
0.486 0.918 0.840 Dy
0.514 0.082 0.160 Dy
0.514 0.582 0.160 Dy
0.996 0.081 0.680 Dy
0.996 0.581 0.680 Dy
0.500 0.250 0.500 Er
0.500 0.750 0.500 Er
0.000 0.249 0.000 Zr
0.000 0.751 0.000 Zr

Record 3
Dy3Er8Zr, optimized geometry, DFT GGA-PBE; D(E_F) = 12.64 states/eV per cell; E = -49.99 eV for the cell shown; total magnetization = 0.00 μB/cell; space group = I4/mmm, No. 139; energy relative to the elements = 0.74 eV/atom
1.0
-3.782 3.782 7.532
3.782 -3.782 7.532
3.782 3.782 -7.532
Dy Er Zr
3 8 1
Direct
0.000 0.000 0.000 Dy
0.250 0.750 0.500 Dy
0.750 0.250 0.500 Dy
0.139 0.139 0.519 Er
0.139 0.621 0.000 Er
0.379 0.379 0.519 Er
0.379 0.861 0.000 Er
0.621 0.139 0.000 Er
0.621 0.621 0.481 Er
0.861 0.379 0.000 Er
0.861 0.861 0.481 Er
0.500 0.500 0.000 Zr

Record 4
Dy7Er4Zr, optimized geometry, DFT GGA-PBE; D(E_F) = 23.21 states/eV per cell; E = -57.01 eV for the cell shown; total magnetization = 0.00 μB/cell; space group = P-1, No. 2; energy relative to the elements = 0.17 eV/atom
1.0
5.906 0.000 0.000
0.014 6.811 0.000
0.595 3.358 9.208
Dy Er Zr
7 4 1
Direct
0.000 0.000 0.000 Dy
0.210 0.714 0.578 Dy
0.260 0.533 0.931 Dy
0.265 0.192 0.624 Dy
0.735 0.808 0.376 Dy
0.740 0.467 0.069 Dy
0.790 0.286 0.422 Dy
0.275 0.602 0.270 Er
0.278 0.128 0.270 Er
0.722 0.872 0.730 Er
0.725 0.398 0.730 Er
0.500 0.000 0.000 Zr

Record 5
DyEr4Zr, optimized geometry, DFT GGA-PBE; relative energy among the computed polymorphs = 79 meV per atom; D(E_F) = 19.94 states/eV per cell; E = -61.21 eV for the cell shown; total magnetization = 0.00 μB/cell; space group = C2/c, No. 15; energy relative to the elements = 0.13 eV/atom
1.0
4.392 -7.040 0.000
4.392 7.040 0.000
-2.062 0.000 5.849
Dy Er Zr
2 8 2
Direct
0.093 0.907 0.750 Dy
0.907 0.093 0.250 Dy
0.094 0.326 0.866 Er
0.218 0.593 0.460 Er
0.326 0.094 0.366 Er
0.407 0.782 0.040 Er
0.593 0.218 0.960 Er
0.674 0.906 0.634 Er
0.782 0.407 0.540 Er
0.906 0.674 0.134 Er
0.497 0.503 0.250 Zr
0.503 0.497 0.750 Zr

Record 6
Dy3Er3Zr, optimized geometry, DFT GGA-PBE; D(E_F) = 18.44 states/eV per cell; E = -69.31 eV for the cell shown; total magnetization = 0.00 μB/cell; space group = R-3, No. 148; energy relative to the elements = 0.20 eV/atom
1.0
3.030 1.749 13.627
-3.030 1.749 13.627
0.000 -3.498 13.627
Dy Er Zr
6 6 2
Direct
0.132 0.463 0.801 Dy
0.199 0.868 0.537 Dy
0.463 0.801 0.132 Dy
0.537 0.199 0.868 Dy
0.801 0.132 0.463 Dy
0.868 0.537 0.199 Dy
0.062 0.727 0.396 Er
0.273 0.604 0.938 Er
0.396 0.062 0.727 Er
0.604 0.938 0.273 Er
0.727 0.396 0.062 Er
0.938 0.273 0.604 Er
0.333 0.333 0.333 Zr
0.667 0.667 0.667 Zr

Record 7
Dy4Er7Zr, optimized geometry, DFT GGA-PBE; D(E_F) = 15.04 states/eV per cell; E = -58.41 eV for the cell shown; total magnetization = 0.00 μB/cell; space group = P-1, No. 2; energy relative to the elements = 0.04 eV/atom
1.0
6.030 0.000 0.000
-0.021 6.989 0.000
-0.016 -3.477 8.526
Dy Er Zr
4 7 1
Direct
0.165 0.417 0.326 Dy
0.327 0.335 0.672 Dy
0.673 0.665 0.328 Dy
0.835 0.583 0.674 Dy
0.000 0.000 0.000 Er
0.165 0.910 0.326 Er
0.335 0.833 0.666 Er
0.499 0.743 0.000 Er
0.501 0.257 0.000 Er
0.665 0.167 0.334 Er
0.835 0.090 0.674 Er
0.000 0.500 0.000 Zr

Record 8
Dy6Er8Zr, optimized geometry, DFT GGA-PBE; D(E_F) = 22.24 states/eV per cell; E = -70.38 eV for the cell shown; total magnetization = 0.39 μB/cell; space group = P-3, No. 147; energy relative to the elements = 0.15 eV/atom
1.0
9.698 0.000 0.000
-4.849 8.398 0.000
0.000 0.000 5.726
Dy Er Zr
6 8 1
Direct
0.093 0.622 0.244 Dy
0.378 0.471 0.244 Dy
0.471 0.093 0.756 Dy
0.529 0.907 0.244 Dy
0.622 0.529 0.756 Dy
0.907 0.378 0.756 Dy
0.052 0.782 0.733 Er
0.218 0.269 0.733 Er
0.269 0.052 0.267 Er
0.333 0.667 0.735 Er
0.667 0.333 0.265 Er
0.731 0.948 0.733 Er
0.782 0.731 0.267 Er
0.948 0.218 0.267 Er
0.000 0.000 0.000 Zr